# B2Te2F

An optimized crystal structure of B2Te2F (PBEsol, the Alexandria database).

Output
- Energy relative to the elements, uncorrected: 0.08 eV per atom
- Space group: P4/mbm (127)

a = 3.4729 Å, b = 7.2961 Å, c = 7.2961 Å
α = 90.00°, β = 90.00°, γ = 90.00°
Last column: nearest neighbours and their distance in Å.
Fractional positions:
B (0.5000, 0.0782, 0.5782)  1 B 1.61
B (0.5000, 0.5782, 0.9218)  1 B 1.61
B (0.5000, 0.9218, 0.4218)  1 B 1.61
B (0.5000, 0.4218, 0.0782)  1 B 1.61
Te (0.0000, 0.2059, 0.7059)  2 B 2.18
Te (0.0000, 0.7059, 0.7941)  2 B 2.18
Te (0.0000, 0.7941, 0.2941)  2 B 2.18
Te (0.0000, 0.2941, 0.2059)  2 B 2.18
F (0.0000, 0.0000, 0.0000)  4 Te 2.62
F (0.0000, 0.5000, 0.5000)  4 Te 2.62



# MgHg5

An optimized crystal structure of MgHg5 (PBEsol, the Alexandria database).

Output
- Formation energy: -0.09 eV per atom
- Space group: Cm (8)

a = 3.4540 Å, b = 5.9782 Å, c = 7.0184 Å
α = 102.61°, β = 90.00°, γ = 106.79°
Last column: nearest neighbours and their distance in Å.
Fractional positions:
Mg (0.7194, 0.4387, 0.9364)  7 Hg 2.92-3.08
Hg (0.0242, 0.0483, 0.0152)  2 Mg 2.97, 7 Hg 3.02-3.28
Hg (0.3791, 0.7582, 0.2442)  2 Mg 3.03, 8 Hg 3.09-3.32
Hg (0.6767, 0.3535, 0.3546)  9 Hg 3.08-3.32, 1 Mg 3.08
Hg (0.0369, 0.0737, 0.5905)  8 Hg 3.02-3.27, 2 Mg 3.31
Hg (0.3305, 0.6609, 0.6925)  2 Mg 2.92, 4 Hg 3.13-3.14



# TlCo2Tc

An optimized crystal structure of TlCo2Tc (PBEsol, the Alexandria database).

Output
- Formation energy: 0.65 eV per atom
- Space group: R3m (160)

a = 2.8070 Å, b = 2.8070 Å, c = 8.6214 Å
α = 80.63°, β = 80.63°, γ = 60.00°
Last column: nearest neighbours and their distance in Å.
Fractional positions:
Tl (0.2537, 0.2537, 0.2390)  3 Co 2.79, 6 Tl 2.81, 3 Tc 2.96
Co (0.0098, 0.0098, 0.9705)  3 Co 2.41
Co (0.7470, 0.7470, 0.7591)  3 Co 2.41, 3 Tc 2.52
Tc (0.4895, 0.4895, 0.5315)  3 Co 2.52, 6 Tc 2.81



# Hf3NbH

An optimized crystal structure of Hf3NbH (PBEsol, the Alexandria database).

Output
- Space group: Pm-3m (221)

a = 5.0205 Å, b = 5.0205 Å, c = 5.0205 Å
α = 90.00°, β = 90.00°, γ = 90.00°
Last column: nearest neighbours and their distance in Å.
Fractional positions:
H (0.5000, 0.5000, 0.5000)  12 Hf 3.55
Nb (0.0000, 0.0000, 0.0000)  6 Hf 2.51
Hf (0.0000, 0.5000, 0.0000)  2 Nb 2.51
Hf (0.0000, 0.0000, 0.5000)  2 Nb 2.51
Hf (0.5000, 0.0000, 0.0000)  2 Nb 2.51



# ScFe4Tc

An optimized crystal structure of ScFe4Tc (PBEsol, the Alexandria database).

Output
- Formation energy: -0.04 eV per atom
- Space group: F-43m (216)

a = 4.7289 Å, b = 4.7289 Å, c = 4.7289 Å
α = 60.00°, β = 60.00°, γ = 60.00°
Last column: nearest neighbours and their distance in Å.
Fractional positions:
Fe (0.3740, 0.3740, 0.3740)  6 Fe 2.35-2.38
Fe (0.3740, 0.3740, 0.8780)  6 Fe 2.35-2.38
Fe (0.8780, 0.3740, 0.3740)  6 Fe 2.35-2.38
Fe (0.3740, 0.8780, 0.3740)  6 Fe 2.35-2.38
Sc (0.7500, 0.7500, 0.7500)  12 Fe 2.77, 4 Tc 2.90
Tc (0.0000, 0.0000, 0.0000)  12 Fe 2.77, 4 Sc 2.90



# CoCu2TeC

An optimized crystal structure of CoCu2TeC (PBEsol, the Alexandria database).

Output
- Energy relative to the elements, uncorrected: 0.88 eV per atom
- Space group: P4/mmm (123)

a = 3.4790 Å, b = 4.5671 Å, c = 4.5671 Å
α = 90.00°, β = 90.00°, γ = 90.00°
Last column: nearest neighbours and their distance in Å.
Fractional positions:
C (0.5000, 0.0000, 0.0000)  2 Co 1.74
Te (0.5000, 0.5000, 0.5000)  8 Cu 2.87
Co (0.0000, 0.0000, 0.0000)  2 C 1.74
Cu (0.0000, 0.0000, 0.5000)  2 Co 2.28
Cu (0.0000, 0.5000, 0.0000)  2 Co 2.28



# ReGeAs

An optimized crystal structure of ReGeAs (PBEsol, the Alexandria database).

Output
- Formation energy: -0.09 eV per atom
- Space group: C2/m (12)

a = 3.2005 Å, b = 4.8114 Å, c = 6.8191 Å
α = 80.74°, β = 76.43°, γ = 70.57°
Last column: nearest neighbours and their distance in Å.
Fractional positions:
Re (0.8401, 0.1104, 0.2094)  3 As 2.49-2.54, 5 Ge 2.64-2.71
Re (0.1599, 0.8896, 0.7906)  3 As 2.49-2.54, 5 Ge 2.64-2.71
As (0.1409, 0.2455, 0.4727)  1 As 2.37, 3 Re 2.49-2.54
As (0.8591, 0.7545, 0.5273)  1 As 2.37, 3 Re 2.49-2.54
Ge (0.6039, 0.6887, 0.1034)  5 Re 2.64-2.71, 2 Ge 2.79
Ge (0.3961, 0.3113, 0.8966)  5 Re 2.64-2.71, 2 Ge 2.79



# Li3MgNi3O8

An optimized crystal structure of Li3MgNi3O8 (PBEsol, the Alexandria database).

Output
- Energy relative to the elements, uncorrected: -1.42 eV per atom
- Space group: P2 (3)

a = 4.8474 Å, b = 4.9979 Å, c = 5.7124 Å
α = 90.04°, β = 90.01°, γ = 107.80°
Last column: nearest neighbours and their distance in Å.
Fractional positions:
Li (0.0012, 0.4962, 0.7475)  4 O 1.96-2.18
Li (0.5012, 0.4962, 0.4842)  6 O 2.08-2.21
Li (0.5011, 0.4960, 0.0137)  6 O 2.09-2.21
Mg (0.5010, 0.9962, 0.7494)  6 O 2.00-2.03
Ni (0.0009, 0.9960, 0.4971)  6 O 1.87-1.94
Ni (0.5009, 0.9960, 0.2494)  6 O 1.86-1.89
Ni (0.0009, 0.9960, 0.0016)  6 O 1.87-1.94
O (0.7836, 0.7678, 0.7492)  2 Ni 1.94, 1 Li 1.96, 1 Mg 2.03
O (0.2182, 0.2243, 0.7494)  2 Ni 1.94, 1 Li 1.96, 1 Mg 2.03
O (0.7428, 0.2075, 0.4863)  2 Ni 1.87-1.89, 1 Mg 2.00
O (0.2591, 0.7847, 0.4860)  2 Ni 1.87-1.89, 1 Mg 2.00
O (0.2442, 0.2061, 0.2495)  3 Ni 1.86-1.93
O (0.7576, 0.7859, 0.2493)  3 Ni 1.86-1.93
O (0.7427, 0.2073, 0.0129)  2 Ni 1.87-1.89, 1 Mg 2.00
O (0.2592, 0.7848, 0.0125)  2 Ni 1.87-1.89, 1 Mg 2.00



# Tl2TeH

An optimized crystal structure of Tl2TeH (PBEsol, the Alexandria database).

Output
- Space group: Fm-3m (225)

a = 5.1912 Å, b = 5.1912 Å, c = 5.1912 Å
α = 60.00°, β = 60.00°, γ = 60.00°
Last column: nearest neighbours and their distance in Å.
Fractional positions:
H (0.0000, 0.0000, 0.0000)  8 Tl 3.18
Tl (0.2500, 0.2500, 0.2500)  4 H 3.18, 4 Te 3.18
Tl (0.7500, 0.7500, 0.7500)  4 Te 3.18, 4 H 3.18
Te (0.5000, 0.5000, 0.5000)  8 Tl 3.18



# ReAu2Br

An optimized crystal structure of ReAu2Br (PBEsol, the Alexandria database).

Output
- Energy relative to the elements, uncorrected: 0.64 eV per atom
- Space group: Cmm2 (35)

a = 2.8551 Å, b = 2.9350 Å, c = 9.8286 Å
α = 90.00°, β = 90.00°, γ = 119.10°
Last column: nearest neighbours and their distance in Å.
Fractional positions:
Re (0.5000, 0.0000, 0.7474)  2 Br 2.52, 2 Au 2.73
Au (0.0000, 0.0000, 0.9844)  2 Re 2.73, 8 Au 2.82-2.93
Au (0.5000, 0.0000, 0.2322)  8 Au 2.82-2.93
Br (0.0000, 0.0000, 0.5359)  2 Re 2.52



# Zr2ZnFePb

An optimized crystal structure of Zr2ZnFePb (PBEsol, the Alexandria database).

Output
- Formation energy: 1.53 eV per atom
- Space group: P4/mmm (123)

a = 4.6955 Å, b = 5.3607 Å, c = 5.3607 Å
α = 90.00°, β = 90.00°, γ = 90.00°
Last column: nearest neighbours and their distance in Å.
Fractional positions:
Pb (0.0000, 0.0000, 0.0000)  2 Zn 2.35
Zn (0.5000, 0.0000, 0.0000)  2 Pb 2.35
Fe (0.5000, 0.5000, 0.5000)  8 Zr 3.56, 4 Zn 3.79
Zr (0.0000, 0.0000, 0.5000)  2 Pb 2.68
Zr (0.0000, 0.5000, 0.0000)  2 Pb 2.68



# Y2MoRh

An optimized crystal structure of Y2MoRh (PBEsol, the Alexandria database).

Output
- Formation energy: 0.12 eV per atom
- Space group: I-4m2 (119)

a = 3.9913 Å, b = 3.9913 Å, c = 5.7468 Å
α = 110.32°, β = 110.32°, γ = 90.00°
Last column: nearest neighbours and their distance in Å.
Fractional positions:
Mo (0.5000, 0.5000, 0.0000)  4 Y 2.82
Rh (0.2500, 0.7500, 0.5000)  4 Y 2.82
Y (0.0000, 0.0000, 0.0000)  4 Mo 2.82
Y (0.7500, 0.2500, 0.5000)  4 Rh 2.82



# Mg2AsPb

An optimized crystal structure of Mg2AsPb (PBEsol, the Alexandria database).

Output
- Formation energy: -0.19 eV per atom
- Space group: C2/m (12)

a = 3.8571 Å, b = 4.7304 Å, c = 5.6825 Å
α = 106.03°, β = 90.00°, γ = 114.06°
Last column: nearest neighbours and their distance in Å.
Fractional positions:
Pb (0.0000, 0.0000, 0.5000)  6 Mg 2.92-3.08
As (0.5000, 0.0000, 0.0000)  6 Mg 2.77-2.94
Mg (0.7700, 0.5401, 0.7865)  3 As 2.77-2.94, 3 Pb 2.92-3.08
Mg (0.2300, 0.4599, 0.2135)  3 As 2.77-2.94, 3 Pb 2.92-3.08



# GeSb2PtI

An optimized crystal structure of GeSb2PtI (PBEsol, the Alexandria database).

Output
- Energy relative to the elements, uncorrected: 0.55 eV per atom
- Space group: P4/mmm (123)

a = 5.1664 Å, b = 5.1664 Å, c = 5.4156 Å
α = 90.00°, β = 90.00°, γ = 90.00°
Last column: nearest neighbours and their distance in Å.
Fractional positions:
I (0.0000, 0.0000, 0.5000)  2 Pt 2.71
Sb (0.0000, 0.5000, 0.0000)  2 Pt 2.58
Sb (0.5000, 0.0000, 0.0000)  2 Pt 2.58
Ge (0.5000, 0.5000, 0.5000)  4 I 3.65, 8 Sb 3.74
Pt (0.0000, 0.0000, 0.0000)  4 Sb 2.58, 2 I 2.71



# BaReW2Cl

An optimized crystal structure of BaReW2Cl (PBEsol, the Alexandria database).

Output
- Energy relative to the elements, uncorrected: 4.17 eV per atom
- Space group: P4/mmm (123)

a = 5.0597 Å, b = 5.0846 Å, c = 5.0846 Å
α = 90.00°, β = 90.00°, γ = 90.00°
Last column: nearest neighbours and their distance in Å.
Fractional positions:
Re (0.5000, 0.0000, 0.0000)  2 Ba 2.53
Ba (0.0000, 0.0000, 0.0000)  2 Re 2.53, 4 W 2.54
W (0.0000, 0.0000, 0.5000)  2 Ba 2.54
W (0.0000, 0.5000, 0.0000)  2 Ba 2.54
Cl (0.5000, 0.5000, 0.5000)  8 W 3.59, 4 Re 3.60



# ZrTlBW2

An optimized crystal structure of ZrTlBW2 (PBEsol, the Alexandria database).

Output
- Formation energy: 3.45 eV per atom
- Space group: P4/mmm (123)

a = 4.9092 Å, b = 4.9092 Å, c = 5.1588 Å
α = 90.00°, β = 90.00°, γ = 90.00°
Last column: nearest neighbours and their distance in Å.
Fractional positions:
Tl (0.0000, 0.0000, 0.0000)  4 W 2.45, 2 Zr 2.58
B (0.5000, 0.5000, 0.5000)  4 Zr 3.47, 8 W 3.56
Zr (0.0000, 0.0000, 0.5000)  2 Tl 2.58
W (0.0000, 0.5000, 0.0000)  2 Tl 2.45
W (0.5000, 0.0000, 0.0000)  2 Tl 2.45



# KInSbI2

An optimized crystal structure of KInSbI2 (PBEsol, the Alexandria database).

Output
- Energy relative to the elements, uncorrected: 0.22 eV per atom
- Space group: P4/mmm (123)

a = 6.2826 Å, b = 6.3473 Å, c = 6.3473 Å
α = 90.00°, β = 90.00°, γ = 90.00°
Last column: nearest neighbours and their distance in Å.
Fractional positions:
I (0.0000, 0.0000, 0.5000)  2 K 3.17
I (0.0000, 0.5000, 0.0000)  2 K 3.17
Sb (0.5000, 0.0000, 0.0000)  2 K 3.14
K (0.0000, 0.0000, 0.0000)  2 Sb 3.14, 4 I 3.17
In (0.5000, 0.5000, 0.5000)  8 I 4.47, 4 Sb 4.49



# ZnCu

An optimized crystal structure of ZnCu (PBEsol, the Alexandria database).

Output
- Formation energy: -0.06 eV per atom
- Space group: Fd-3m (227)

a = 4.1141 Å, b = 4.1141 Å, c = 4.1141 Å
α = 60.00°, β = 60.00°, γ = 60.00°
Last column: nearest neighbours and their distance in Å.
Fractional positions:
Zn (0.7500, 0.7500, 0.7500)  4 Cu 2.52, 4 Zn 2.52
Zn (0.5000, 0.5000, 0.5000)  4 Cu 2.52, 4 Zn 2.52
Cu (0.0000, 0.0000, 0.0000)  4 Zn 2.52, 4 Cu 2.52
Cu (0.2500, 0.2500, 0.2500)  4 Zn 2.52, 4 Cu 2.52



# Li2CuNi

An optimized crystal structure of Li2CuNi (PBEsol, the Alexandria database).

Output
- Formation energy: 0.06 eV per atom
- Space group: I4/mmm (139)

a = 3.4926 Å, b = 3.4926 Å, c = 4.5096 Å
α = 112.78°, β = 112.78°, γ = 90.00°
Last column: nearest neighbours and their distance in Å.
Fractional positions:
Ni (0.5000, 0.5000, 0.0000)  4 Cu 2.47, 8 Li 2.57
Cu (0.0000, 0.0000, 0.0000)  4 Ni 2.47, 8 Li 2.57
Li (0.7500, 0.2500, 0.5000)  4 Li 2.47, 4 Cu 2.57, 4 Ni 2.57
Li (0.2500, 0.7500, 0.5000)  4 Li 2.47, 4 Ni 2.57, 4 Cu 2.57



# LiBe3Au

An optimized crystal structure of LiBe3Au (PBEsol, the Alexandria database).

Output
- Formation energy: 0.90 eV per atom
- Space group: Pm-3m (221)

a = 3.8399 Å, b = 3.8399 Å, c = 3.8399 Å
α = 90.00°, β = 90.00°, γ = 90.00°
Last column: nearest neighbours and their distance in Å.
Fractional positions:
Be (0.0000, 0.5000, 0.0000)  2 Li 1.92
Be (0.0000, 0.0000, 0.5000)  2 Li 1.92
Be (0.5000, 0.0000, 0.0000)  2 Li 1.92
Au (0.5000, 0.5000, 0.5000)  12 Be 2.72
Li (0.0000, 0.0000, 0.0000)  6 Be 1.92



Looking at calculated total energy for the records above, in order, we have -4.518 -0.844 -6.695 -7.455 -8.990 -5.034 -7.883 -5.957 -2.748 -5.121 -5.014 -8.263 -3.322 -4.003 -4.855 -5.816 -2.225 -3.020 -3.543 -2.678 eV per atom.